1.
Compound: PaTlCuS3
Source: Alexandria via LeMat-Bulk
Functional: PBE
Structure: optimized geometry

Calculated values
volume = 25.54 Å³/atom
raw formation energy = -1.01 eV/atom
magnetization = 1.0 μB per formula unit

Unit cell a=3.956 b=8.933 c=9.141 alpha=108.40 beta=90.00 gamma=90.00
Last column: magnetic moment on the atom in μB.
Fractional positions:
Pa 0.250 0.679 0.163  0.90
Pa 0.750 0.321 0.837  0.90
Tl 0.250 0.198 0.243  0.01
Tl 0.750 0.802 0.757  0.01
Cu 0.250 0.081 0.594  -0.01
Cu 0.750 0.919 0.406  -0.01
S 0.750 0.879 0.140  -0.02
S 0.250 0.121 0.860  -0.02
S 0.250 0.803 0.469  -0.01
S 0.750 0.197 0.531  -0.01
S 0.750 0.461 0.153  -0.03
S 0.250 0.539 0.847  -0.03

2.
Compound: PrMgH6Ir2
Source: Alexandria via LeMat-Bulk
Functional: PBE
Structure: optimized geometry

Calculated values
final energy = -4.83 eV per atom
volume = 9.91 Å³/atom
magnetization = 0.0 μB per formula unit

Unit cell a=4.637 b=4.637 c=5.957 alpha=67.10 beta=67.10 gamma=60.00
Fractional positions:
Pr 0.000 0.000 0.000
Mg 0.500 0.500 0.500
H 0.057 0.566 0.812
H 0.566 0.057 0.812
H 0.434 0.434 0.188
H 0.943 0.434 0.188
H 0.434 0.943 0.188
H 0.566 0.566 0.812
Ir 0.793 0.793 0.622
Ir 0.207 0.207 0.378